DyBe2Ir | Alexandria via LeMat-Bulk | PBE | relaxed; E = -45.9 eV/cell; crystal system = hexagonal; spin magnetization = 0.00 μB/atom; ΔH_f (0 K) = -0.506 eV per atom; calculated volume = 15.65 A^3/atom
1.0
3.8802 0.0000 0.0000
-1.9401 3.3603 0.0000
0.0000 0.0000 9.6042
Dy Be Ir
2 4 2
direct
0.3333 0.6667 0.2500 Dy
0.6667 0.3333 0.7500 Dy
0.3333 0.6667 0.5462 Be
0.3333 0.6667 0.9538 Be
0.6667 0.3333 0.0462 Be
0.6667 0.3333 0.4538 Be
0.0000 0.0000 0.0000 Ir
0.0000 0.0000 0.5000 Ir


DyBeIrN | Alexandria via LeMat-Bulk | PBE | relaxed; E = -59.4 eV/cell; crystal system = tetragonal; spin magnetization = 0.00 μB/atom; E_form (uncorrected) = -24.12 kcal/mol of atoms; calculated volume = 13.73 A^3/atom
1.0
3.6854 0.0000 0.0000
0.0000 3.6854 0.0000
0.0000 0.0000 8.0898
Dy Be Ir N
2 2 2 2
direct
0.2500 0.2500 0.1547 Dy
0.7500 0.7500 0.8453 Dy
0.2500 0.2500 0.6763 Be
0.7500 0.7500 0.3237 Be
0.2500 0.7500 0.5000 Ir
0.7500 0.2500 0.5000 Ir
0.2500 0.2500 0.8736 N
0.7500 0.7500 0.1264 N


DyBe2IrO8 | Alexandria via LeMat-Bulk | PBE | relaxed; E = -77.8 eV/cell; crystal system = trigonal; spin magnetization = 0.11 μB/atom; E_form (uncorrected) = -33.15 kcal/mol of atoms; calculated volume = 11.86 A^3/atom
1.0
5.1550 0.0000 0.0000
-2.5775 4.4643 0.0000
0.0000 0.0000 6.1843
Dy Be Ir O
1 2 1 8
direct
0.0000 0.0000 0.0000 Dy
0.3333 0.6667 0.2305 Be
0.6667 0.3333 0.7695 Be
0.0000 0.0000 0.5000 Ir
0.1641 0.3281 0.3076 O
0.1641 0.8359 0.3076 O
0.3281 0.1641 0.6924 O
0.3333 0.6667 0.9696 O
0.6667 0.3333 0.0304 O
0.6719 0.8359 0.3076 O
0.8359 0.1641 0.6924 O
0.8359 0.6719 0.6924 O


PmDyBeIr | Alexandria via LeMat-Bulk | PBE | relaxed; E = -23.2 eV/cell; crystal system = cubic; spin magnetization = 0.00 μB/atom; ΔH_f (0 K) = -0.316 eV per atom; calculated volume = 21.04 A^3/atom
1.0
0.0000 3.4784 3.4784
3.4784 0.0000 3.4784
3.4784 3.4784 0.0000
Pm Dy Be Ir
1 1 1 1
direct
0.0000 0.0000 0.0000 Pm
0.5000 0.5000 0.5000 Dy
0.2500 0.2500 0.2500 Be
0.7500 0.7500 0.7500 Ir


DyBe4Ir2Pt | Alexandria via LeMat-Bulk | PBE | relaxed; E = -48.1 eV/cell; crystal system = trigonal; spin magnetization = 0.00 μB/atom; ΔH_f (0 K) = -0.608 eV per atom; calculated volume = 13.38 A^3/atom
1.0
1.9560 1.1293 8.0761
-1.9560 1.1293 8.0761
0.0000 -2.2586 8.0761
Dy Be Ir Pt
1 4 2 1
direct
0.0000 0.0000 0.0000 Dy
0.1288 0.1288 0.1288 Be
0.4070 0.4070 0.4070 Be
0.5930 0.5930 0.5930 Be
0.8712 0.8712 0.8712 Be
0.2411 0.2411 0.2411 Ir
0.7589 0.7589 0.7589 Ir
0.5000 0.5000 0.5000 Pt


DyBe4IrPt2 | Alexandria via LeMat-Bulk | PBE | relaxed; E = -46.1 eV/cell; crystal system = trigonal; spin magnetization = 0.00 μB/atom; ΔH_f (0 K) = -0.706 eV per atom; calculated volume = 13.51 A^3/atom
1.0
1.9672 1.1358 8.0640
-1.9672 1.1358 8.0640
0.0000 -2.2716 8.0640
Dy Be Ir Pt
1 4 1 2
direct
0.0000 0.0000 0.0000 Dy
0.1353 0.1353 0.1353 Be
0.4080 0.4080 0.4080 Be
0.5920 0.5920 0.5920 Be
0.8647 0.8647 0.8647 Be
0.5000 0.5000 0.5000 Ir
0.2432 0.2432 0.2432 Pt
0.7568 0.7568 0.7568 Pt


Dy2Be4IrPt3 | Alexandria via LeMat-Bulk | PBE | relaxed; E = -59.9 eV/cell; crystal system = tetragonal; spin magnetization = 0.00 μB/atom; ΔH_f (0 K) = -0.878 eV per atom; calculated volume = 15.21 A^3/atom
1.0
4.0335 0.0000 0.0000
0.0000 4.0335 0.0000
0.0000 0.0000 9.3495
Dy Be Ir Pt
2 4 1 3
direct
0.0000 0.5000 0.2449 Dy
0.5000 0.0000 0.7551 Dy
0.0000 0.0000 0.5000 Be
0.0000 0.5000 0.8771 Be
0.5000 0.0000 0.1229 Be
0.5000 0.5000 0.5000 Be
0.5000 0.5000 0.0000 Ir
0.0000 0.0000 0.0000 Pt
0.0000 0.5000 0.6250 Pt
0.5000 0.0000 0.3750 Pt


DyBe2IrRh | Alexandria via LeMat-Bulk | PBE | relaxed; E = -31.7 eV/cell; crystal system = tetragonal; spin magnetization = 0.00 μB/atom; ΔH_f (0 K) = -0.686 eV per atom; calculated volume = 15.02 A^3/atom
1.0
-2.0802 2.0802 4.3384
2.0802 -2.0802 4.3384
2.0802 2.0802 -4.3384
Dy Be Ir Rh
1 2 1 1
direct
0.0000 0.0000 0.0000 Dy
0.3540 0.3540 0.0000 Be
0.6460 0.6460 0.0000 Be
0.2500 0.7500 0.5000 Ir
0.7500 0.2500 0.5000 Rh


DyScBeIr | Alexandria via LeMat-Bulk | PBE | relaxed; E = -25.3 eV/cell; crystal system = cubic; spin magnetization = 0.00 μB/atom; ΔH_f (0 K) = -0.447 eV per atom; calculated volume = 18.39 A^3/atom
1.0
0.0000 3.3254 3.3254
3.3254 0.0000 3.3254
3.3254 3.3254 0.0000
Dy Sc Be Ir
1 1 1 1
direct
0.0000 0.0000 0.0000 Dy
0.5000 0.5000 0.5000 Sc
0.2500 0.2500 0.2500 Be
0.7500 0.7500 0.7500 Ir


Dy2BeSi3Ir4 | Alexandria via LeMat-Bulk | PBE | relaxed; E = -74.5 eV/cell; crystal system = tetragonal; spin magnetization = 0.00 μB/atom; E_form (uncorrected) = -22.72 kcal/mol of atoms; calculated volume = 16.43 A^3/atom
1.0
4.1002 0.0000 0.0000
0.0000 4.1002 0.0000
0.0000 0.0000 9.7754
Dy Be Si Ir
2 1 3 4
direct
0.0000 0.5000 0.2435 Dy
0.5000 0.0000 0.7565 Dy
0.5000 0.5000 0.0000 Be
0.0000 0.0000 0.0000 Si
0.0000 0.5000 0.6332 Si
0.5000 0.0000 0.3668 Si
0.0000 0.0000 0.5000 Ir
0.0000 0.5000 0.8757 Ir
0.5000 0.0000 0.1243 Ir
0.5000 0.5000 0.5000 Ir


Dy2BeSi2Ir5 | Alexandria via LeMat-Bulk | PBE | relaxed; E = -151.0 eV/cell; crystal system = tetragonal; spin magnetization = 0.00 μB/atom; E_form (uncorrected) = -17.16 kcal/mol of atoms; calculated volume = 15.89 A^3/atom
1.0
9.6541 0.0000 0.0000
0.0000 9.6541 0.0000
0.0000 0.0000 3.4096
Dy Be Si Ir
4 2 4 10
direct
0.1737 0.3263 0.0000 Dy
0.3263 0.8263 0.0000 Dy
0.6737 0.1737 0.0000 Dy
0.8263 0.6737 0.0000 Dy
0.0000 0.0000 0.0000 Be
0.5000 0.5000 0.0000 Be
0.1276 0.6276 0.0000 Si
0.3724 0.1276 0.0000 Si
0.6276 0.8724 0.0000 Si
0.8724 0.3724 0.0000 Si
0.0000 0.5000 0.5000 Ir
0.0649 0.7961 0.5000 Ir
0.2039 0.0649 0.5000 Ir
0.2961 0.5649 0.5000 Ir
0.4351 0.2961 0.5000 Ir
0.5000 0.0000 0.5000 Ir
0.5649 0.7039 0.5000 Ir
0.7039 0.4351 0.5000 Ir
0.7961 0.9351 0.5000 Ir
0.9351 0.2039 0.5000 Ir


DyBe2SiIr | Alexandria via LeMat-Bulk | PBE | relaxed; E = -29.2 eV/cell; crystal system = orthorhombic; spin magnetization = 0.00 μB/atom; E_form (uncorrected) = -13.12 kcal/mol of atoms; calculated volume = 14.76 A^3/atom
1.0
-1.9104 1.9259 5.0151
1.9104 -1.9259 5.0151
1.9104 1.9259 -5.0151
Dy Be Si Ir
1 2 1 1
direct
0.0000 0.0000 0.0000 Dy
0.3816 0.3816 0.0000 Be
0.7534 0.2534 0.5000 Be
0.6180 0.6180 0.0000 Si
0.2583 0.7583 0.5000 Ir


Dy2Be4Si3Ir | Alexandria via LeMat-Bulk | PBE | relaxed; E = -54.7 eV/cell; crystal system = tetragonal; spin magnetization = 0.00 μB/atom; E_form (uncorrected) = -12.53 kcal/mol of atoms; calculated volume = 14.33 A^3/atom
1.0
3.8001 0.0000 0.0000
0.0000 3.8001 0.0000
0.0000 0.0000 9.9212
Dy Be Si Ir
2 4 3 1
direct
0.0000 0.5000 0.2453 Dy
0.5000 0.0000 0.7547 Dy
0.0000 0.0000 0.0000 Be
0.0000 0.5000 0.6360 Be
0.5000 0.0000 0.3640 Be
0.5000 0.5000 0.0000 Be
0.0000 0.5000 0.8676 Si
0.5000 0.0000 0.1324 Si
0.5000 0.5000 0.5000 Si
0.0000 0.0000 0.5000 Ir


DyBe4SiIr2 | Alexandria via LeMat-Bulk | PBE | relaxed; E = -45.3 eV/cell; crystal system = trigonal; spin magnetization = 0.00 μB/atom; E_form (uncorrected) = -7.68 kcal/mol of atoms; calculated volume = 13.21 A^3/atom
1.0
1.9612 1.1323 7.9293
-1.9612 1.1323 7.9293
0.0000 -2.2646 7.9293
Dy Be Si Ir
1 4 1 2
direct
0.0000 0.0000 0.0000 Dy
0.1231 0.1231 0.1231 Be
0.4074 0.4074 0.4074 Be
0.5926 0.5926 0.5926 Be
0.8769 0.8769 0.8769 Be
0.5000 0.5000 0.5000 Si
0.2279 0.2279 0.2279 Ir
0.7721 0.7721 0.7721 Ir


DyTaBeIr2 | Alexandria via LeMat-Bulk | PBE | relaxed; E = -40.9 eV/cell; crystal system = tetragonal; spin magnetization = 0.00 μB/atom; ΔH_f (0 K) = -0.592 eV per atom; calculated volume = 18.01 A^3/atom
1.0
-1.9545 1.9545 5.8920
1.9545 -1.9545 5.8920
1.9545 1.9545 -5.8920
Dy Ta Be Ir
1 1 1 2
direct
0.0000 0.0000 0.0000 Dy
0.2500 0.7500 0.5000 Ta
0.7500 0.2500 0.5000 Be
0.3855 0.3855 0.0000 Ir
0.6145 0.6145 0.0000 Ir


DyTiBeIr2 | Alexandria via LeMat-Bulk | PBE | relaxed; E = -37.4 eV/cell; crystal system = tetragonal; spin magnetization = 0.00 μB/atom; ΔH_f (0 K) = -0.695 eV per atom; calculated volume = 17.28 A^3/atom
1.0
-1.9412 1.9412 5.7325
1.9412 -1.9412 5.7325
1.9412 1.9412 -5.7325
Dy Ti Be Ir
1 1 1 2
direct
0.0000 0.0000 0.0000 Dy
0.2500 0.7500 0.5000 Ti
0.7500 0.2500 0.5000 Be
0.3837 0.3837 0.0000 Ir
0.6163 0.6163 0.0000 Ir


DyTmBeIr | Alexandria via LeMat-Bulk | PBE | relaxed; E = -23.4 eV/cell; crystal system = cubic; spin magnetization = 0.00 μB/atom; ΔH_f (0 K) = -0.440 eV per atom; calculated volume = 19.67 A^3/atom
1.0
0.0000 3.4009 3.4009
3.4009 0.0000 3.4009
3.4009 3.4009 0.0000
Dy Tm Be Ir
1 1 1 1
direct
0.0000 0.0000 0.0000 Dy
0.5000 0.5000 0.5000 Tm
0.2500 0.2500 0.2500 Be
0.7500 0.7500 0.7500 Ir


DyYBeIr | Alexandria via LeMat-Bulk | PBE | relaxed; E = -25.3 eV/cell; crystal system = cubic; spin magnetization = 0.00 μB/atom; ΔH_f (0 K) = -0.400 eV per atom; calculated volume = 20.19 A^3/atom
1.0
0.0000 3.4309 3.4309
3.4309 0.0000 3.4309
3.4309 3.4309 0.0000
Dy Y Be Ir
1 1 1 1
direct
0.0000 0.0000 0.0000 Dy
0.5000 0.5000 0.5000 Y
0.7500 0.7500 0.7500 Be
0.2500 0.2500 0.2500 Ir


Dy2Be4ZnIr3 | Alexandria via LeMat-Bulk | PBE | relaxed; E = -57.5 eV/cell; crystal system = tetragonal; spin magnetization = 0.00 μB/atom; ΔH_f (0 K) = -0.551 eV per atom; calculated volume = 14.89 A^3/atom
1.0
3.9301 0.0000 0.0000
0.0000 3.9301 0.0000
0.0000 0.0000 9.6411
Dy Be Zn Ir
2 4 1 3
direct
0.0000 0.5000 0.2436 Dy
0.5000 0.0000 0.7564 Dy
0.0000 0.0000 0.0000 Be
0.0000 0.5000 0.6328 Be
0.5000 0.0000 0.3672 Be
0.5000 0.5000 0.0000 Be
0.0000 0.0000 0.5000 Zn
0.0000 0.5000 0.8738 Ir
0.5000 0.0000 0.1262 Ir
0.5000 0.5000 0.5000 Ir


K2DyBeO4 | Alexandria via LeMat-Bulk | PBE | relaxed; E = -90.0 eV/cell; crystal system = orthorhombic; spin magnetization = 0.13 μB/atom; E_form (uncorrected) = -42.21 kcal/mol of atoms; calculated volume = 21.30 A^3/atom
1.0
0.0000 5.8828 11.4081
2.5385 0.0000 11.4081
2.5385 5.8828 0.0000
K Dy Be O
4 2 2 8
direct
0.0602 0.0602 0.6898 K
0.3102 0.3102 0.9398 K
0.6898 0.6898 0.0602 K
0.9398 0.9398 0.3102 K
0.1250 0.1250 0.1250 Dy
0.8750 0.8750 0.8750 Dy
0.3750 0.3750 0.3750 Be
0.6250 0.6250 0.6250 Be
0.0593 0.6103 0.5133 O
0.3171 0.5133 0.6103 O
0.3897 0.9407 0.6829 O
0.4867 0.6829 0.9407 O
0.5133 0.3171 0.0593 O
0.6103 0.0593 0.3171 O
0.6829 0.4867 0.3897 O
0.9407 0.3897 0.4867 O